(1)
VASP calculation (GGA-PBE) on a relaxed BaCr crystal. Values from VASP.

Cell and atoms, written as Quantum ESPRESSO input:
```
&SYSTEM
  ibrav = 0, nat = 4, ntyp = 2
/
ATOMIC_SPECIES
Ba 137.33 Ba.upf
Cr 52.00 Cr.upf
ATOMIC_POSITIONS angstrom
Ba 0.000 0.000 1.754
Ba 0.000 0.000 12.426
Cr 0.000 0.000 5.264
Cr 0.000 0.000 8.916
CELL_PARAMETERS angstrom
2.843 1.641 4.727
-2.843 1.641 4.727
0.000 -3.283 4.727
```

## Properties
* symmetry: R-3m


(2)
VASP calculation (GGA-PBE) on a relaxed Ba4Cr5 crystal. Values from VASP.

Cell and atoms, written as Quantum ESPRESSO input:
```
&SYSTEM
  ibrav = 0, nat = 18, ntyp = 2
/
ATOMIC_SPECIES
Ba 137.33 Ba.upf
Cr 52.00 Cr.upf
ATOMIC_POSITIONS angstrom
Ba 0.000 0.000 0.000
Ba 0.000 0.000 3.503
Ba -1.817 3.147 1.751
Ba -3.204 5.550 5.254
Ba 3.634 0.000 1.751
Ba 1.817 3.147 5.254
Ba 6.408 0.000 5.254
Ba 3.204 5.550 1.751
Cr -1.619 2.804 5.254
Cr -3.402 5.893 1.751
Cr 3.238 0.000 5.254
Cr 1.619 2.804 1.751
Cr 0.000 5.798 0.000
Cr 0.000 5.798 3.503
Cr 5.021 2.899 0.000
Cr 5.021 2.899 3.503
Cr 6.804 0.000 1.751
Cr 3.402 5.893 5.254
CELL_PARAMETERS angstrom
10.042 0.000 0.000
-5.021 8.697 0.000
0.000 0.000 7.005
```

## Properties
* energy above the most stable polymorph in this dataset: 217 meV/atom
* symmetry: P6_3/mcm


(3)
VASP calculation (GGA-PBE) on a relaxed Ba2Cr crystal. Values from VASP.

Cell and atoms, written as Quantum ESPRESSO input:
```
&SYSTEM
  ibrav = 0, nat = 3, ntyp = 2
/
ATOMIC_SPECIES
Ba 137.33 Ba.upf
Cr 52.00 Cr.upf
ATOMIC_POSITIONS angstrom
Ba 0.000 0.000 2.019
Ba 0.000 0.000 12.900
Cr 0.000 0.000 7.460
CELL_PARAMETERS angstrom
-2.116 2.116 7.460
2.116 -2.116 7.460
2.116 2.116 -7.460
```

## Properties
* energy above the most stable polymorph in this dataset: 8 meV/atom
* symmetry: I4/mmm


(4)
VASP calculation (GGA-PBE) on a relaxed BaCr crystal. Values from VASP.

Cell and atoms, written as Quantum ESPRESSO input:
```
&SYSTEM
  ibrav = 0, nat = 12, ntyp = 2
/
ATOMIC_SPECIES
Ba 137.33 Ba.upf
Cr 52.00 Cr.upf
ATOMIC_POSITIONS angstrom
Ba 1.010 0.771 1.751
Ba 1.010 4.359 1.751
Ba 1.010 7.696 2.675
Ba 3.030 2.565 6.911
Ba 3.030 5.902 7.835
Ba 3.030 9.490 7.835
Cr 1.010 2.565 4.460
Cr 1.010 5.212 5.120
Cr 1.010 10.180 5.120
Cr 3.030 0.081 4.466
Cr 3.030 5.049 4.466
Cr 3.030 7.696 5.126
CELL_PARAMETERS angstrom
4.040 0.000 0.000
0.000 10.261 0.000
0.000 0.000 9.586
```

## Properties
* symmetry: Pmmn


(5)
VASP calculation (GGA-PBE) on a relaxed BaCr crystal. Values from VASP.

Cell and atoms, written as Quantum ESPRESSO input:
```
&SYSTEM
  ibrav = 0, nat = 4, ntyp = 2
/
ATOMIC_SPECIES
Ba 137.33 Ba.upf
Cr 52.00 Cr.upf
ATOMIC_POSITIONS angstrom
Ba 2.442 4.603 3.719
Ba 2.442 -4.603 1.240
Cr 2.442 0.803 3.719
Cr 2.442 -0.803 1.240
CELL_PARAMETERS angstrom
2.442 -6.483 0.000
2.442 6.483 0.000
0.000 0.000 4.959
```

## Properties
* symmetry: Cmcm


(6)
VASP calculation (GGA-PBE) on a relaxed Ba2Cr crystal. Values from VASP.

Cell and atoms, written as Quantum ESPRESSO input:
```
&SYSTEM
  ibrav = 0, nat = 6, ntyp = 2
/
ATOMIC_SPECIES
Ba 137.33 Ba.upf
Cr 52.00 Cr.upf
ATOMIC_POSITIONS angstrom
Ba 1.660 0.000 0.700
Ba 1.139 0.000 4.438
Ba 14.863 0.000 2.290
Ba 14.342 0.000 6.028
Cr 8.347 0.000 2.542
Cr 7.656 0.000 4.187
CELL_PARAMETERS angstrom
9.410 -1.940 0.000
9.410 1.940 0.000
-2.819 0.000 6.728
```

## Properties
* energy above the most stable polymorph in this dataset: 129 meV/atom
* symmetry: C2/m


(7)
VASP calculation (GGA-PBE) on a relaxed BaCr2 crystal. Values from VASP.

Cell and atoms, written as Quantum ESPRESSO input:
```
&SYSTEM
  ibrav = 0, nat = 6, ntyp = 2
/
ATOMIC_SPECIES
Ba 137.33 Ba.upf
Cr 52.00 Cr.upf
ATOMIC_POSITIONS angstrom
Ba 0.000 3.301 1.657
Ba 2.859 1.650 4.972
Cr 0.000 0.000 0.000
Cr 0.000 0.000 3.315
Cr 0.000 3.301 4.972
Cr 2.859 1.650 1.657
CELL_PARAMETERS angstrom
5.717 0.000 0.000
-2.859 4.951 0.000
0.000 0.000 6.630
```

## Properties
* energy above the most stable polymorph in this dataset: 726 meV/atom
* symmetry: P6_3/mmc


(8)
VASP calculation (GGA-PBE) on a relaxed BaCr2 crystal. Values from VASP.

Cell and atoms, written as Quantum ESPRESSO input:
```
&SYSTEM
  ibrav = 0, nat = 6, ntyp = 2
/
ATOMIC_SPECIES
Ba 137.33 Ba.upf
Cr 52.00 Cr.upf
ATOMIC_POSITIONS angstrom
Ba 1.095 1.095 1.095
Ba 7.662 7.662 7.662
Cr 4.378 2.189 2.189
Cr 2.189 4.378 2.189
Cr 2.189 2.189 4.378
Cr 4.378 4.378 4.378
CELL_PARAMETERS angstrom
0.000 4.378 4.378
4.378 0.000 4.378
4.378 4.378 0.000
```

## Properties
* energy above the most stable polymorph in this dataset: 438 meV/atom
* symmetry: Fd-3m


(9)
VASP calculation (GGA-PBE) on a relaxed BaCr crystal. Values from VASP.

Cell and atoms, written as Quantum ESPRESSO input:
```
&SYSTEM
  ibrav = 0, nat = 8, ntyp = 2
/
ATOMIC_SPECIES
Ba 137.33 Ba.upf
Cr 52.00 Cr.upf
ATOMIC_POSITIONS angstrom
Ba 2.475 0.478 5.703
Ba 4.125 3.067 9.505
Ba 2.475 7.288 5.703
Ba 4.125 9.877 9.505
Cr 2.475 3.883 4.821
Cr 2.475 3.883 6.586
Cr 4.125 6.472 8.623
Cr 4.125 6.472 10.388
CELL_PARAMETERS angstrom
0.000 5.178 7.604
3.300 0.000 7.604
3.300 5.178 0.000
```

## Properties
* symmetry: Fddd


(10)
VASP calculation (GGA-PBE) on a relaxed BaCr crystal. Values from VASP.

Cell and atoms, written as Quantum ESPRESSO input:
```
&SYSTEM
  ibrav = 0, nat = 4, ntyp = 2
/
ATOMIC_SPECIES
Ba 137.33 Ba.upf
Cr 52.00 Cr.upf
ATOMIC_POSITIONS angstrom
Ba 0.838 0.838 2.025
Ba 2.513 2.513 7.762
Cr 0.838 0.838 5.158
Cr 2.513 2.513 4.628
CELL_PARAMETERS angstrom
3.351 0.000 0.000
0.000 3.351 0.000
0.000 0.000 9.787
```

## Properties
* symmetry: P4/nmm


(11)
VASP calculation (GGA-PBE) on a relaxed BaCr5 crystal. Values from VASP.

Cell and atoms, written as Quantum ESPRESSO input:
```
&SYSTEM
  ibrav = 0, nat = 6, ntyp = 2
/
ATOMIC_SPECIES
Ba 137.33 Ba.upf
Cr 52.00 Cr.upf
ATOMIC_POSITIONS angstrom
Ba 0.000 0.000 0.000
Cr 2.717 2.717 2.717
Cr 4.501 4.501 2.717
Cr 4.501 2.717 4.501
Cr 5.413 5.413 5.413
Cr 2.717 4.501 4.501
CELL_PARAMETERS angstrom
0.000 3.609 3.609
3.609 0.000 3.609
3.609 3.609 0.000
```

## Properties
* energy above the most stable polymorph in this dataset: 387 meV/atom
* symmetry: F-43m


(12)
VASP calculation (GGA-PBE) on a relaxed Ba2Cr crystal. Values from VASP.

Cell and atoms, written as Quantum ESPRESSO input:
```
&SYSTEM
  ibrav = 0, nat = 6, ntyp = 2
/
ATOMIC_SPECIES
Ba 137.33 Ba.upf
Cr 52.00 Cr.upf
ATOMIC_POSITIONS angstrom
Ba 1.807 1.405 0.000
Ba 2.193 5.696 2.226
Ba 5.808 2.885 2.226
Ba 6.194 7.175 0.000
Cr 0.000 4.290 0.000
Cr 4.000 0.000 2.226
CELL_PARAMETERS angstrom
8.001 0.000 0.000
0.000 8.581 0.000
0.000 0.000 4.452
```

## Properties
* energy above the most stable polymorph in this dataset: 145 meV/atom
* symmetry: Pnnm


Quick rundown of calculated volume, same order as above: 33.09 33.99 44.54 33.11 39.25 40.94 31.28 27.97 32.48 27.47 15.67 50.94 A^3/atom
Quick rundown of energy of formation from the pure elements, same order as above: 0.937 1.008 0.542 0.827 0.810 0.662 1.297 1.009 0.885 0.868 1.077 0.678 eV/atom
Quick rundown of spin magnetization, same order as above: 9.67 8.12 4.42 2.94 9.31 0.00 19.37 17.92 0.00 0.75 1.17 8.80 μB per cell